Run 1
# CaMnP3

Crystalline CaMnP3 at its relaxed geometry (PBE, Alexandria via LeMat-Bulk).

Spin magnetization: 0.911 μB per atom
Space group: Pm-3m, No. 221

Cell lengths 5.1010, 5.1010, 5.1010 Å; angles 90.00, 90.00, 90.00 degrees
Last column: magnetic moment on the atom in μB.
Atoms (fractional coordinates):
P 0.5000 0.0000 0.0000  0.04
P 0.0000 0.5000 0.0000  0.05
P 0.0000 0.0000 0.5000  0.07
Ca 0.0000 0.0000 0.0000  -0.01
Mn 0.5000 0.5000 0.5000  -4.49

---

Run 2
# CaMnP3

Crystalline CaMnP3 at its relaxed geometry (PBE, Alexandria via LeMat-Bulk).

Spin magnetization: 0.000 μB per atom
Space group: Pm-3m, No. 221

Cell lengths 4.5034, 4.5034, 4.5034 Å; angles 90.00, 90.00, 90.00 degrees
Atoms (fractional coordinates):
P 0.0000 0.5000 0.0000
P 0.0000 0.0000 0.5000
P 0.5000 0.0000 0.0000
Mn 0.0000 0.0000 0.0000
Ca 0.5000 0.5000 0.5000

---

Short version: run 2 is the most stable of them.

---

Run 1
# CaMn3P

Crystalline CaMn3P at its relaxed geometry (PBE, Alexandria via LeMat-Bulk).

Spin magnetization: 2.218 μB per atom
Space group: Pm-3m, No. 221

Cell lengths 4.7723, 4.7723, 4.7723 Å; angles 90.00, 90.00, 90.00 degrees
Last column: magnetic moment on the atom in μB.
Atoms (fractional coordinates):
Mn 0.5000 0.0000 0.0000  3.95
Mn 0.0000 0.0000 0.5000  3.25
Mn 0.0000 0.5000 0.0000  3.59
Ca 0.0000 0.0000 0.0000  -0.19
P 0.5000 0.5000 0.5000  -0.03

---

Run 2
# CaMn3P

Crystalline CaMn3P at its relaxed geometry (PBE, Alexandria via LeMat-Bulk).

Spin magnetization: 1.780 μB per atom
Space group: Pm-3m, No. 221

Cell lengths 4.4845, 4.4845, 4.4845 Å; angles 90.00, 90.00, 90.00 degrees
Last column: magnetic moment on the atom in μB.
Atoms (fractional coordinates):
Ca 0.5000 0.5000 0.5000  -0.09
Mn 0.0000 0.5000 0.0000  3.12
Mn 0.5000 0.0000 0.0000  3.05
Mn 0.0000 0.0000 0.5000  2.99
P 0.0000 0.0000 0.0000  -0.12

---

Short version: run 2 is the most stable of them.

---

Run 1
# CaMnPb3

Crystalline CaMnPb3 at its relaxed geometry (PBE, Alexandria via LeMat-Bulk).

Spin magnetization: 0.594 μB per atom
Space group: Pm-3m, No. 221

Cell lengths 5.3123, 5.3123, 5.3123 Å; angles 90.00, 90.00, 90.00 degrees
Last column: magnetic moment on the atom in μB.
Atoms (fractional coordinates):
Ca 0.5000 0.5000 0.5000  0.02
Pb 0.0000 0.5000 0.0000  -0.05
Pb 0.5000 0.0000 0.0000  -0.13
Pb 0.0000 0.0000 0.5000  0.01
Mn 0.0000 0.0000 0.0000  3.00

---

Run 2
# CaMnPb3

Crystalline CaMnPb3 at its relaxed geometry (PBE, Alexandria via LeMat-Bulk).

Spin magnetization: 0.920 μB per atom
Space group: Pm-3m, No. 221

Cell lengths 5.8199, 5.8199, 5.8199 Å; angles 90.00, 90.00, 90.00 degrees
Last column: magnetic moment on the atom in μB.
Atoms (fractional coordinates):
Pb 0.5000 0.0000 0.0000  -0.07
Pb 0.0000 0.5000 0.0000  -0.04
Pb 0.0000 0.0000 0.5000  -0.03
Mn 0.5000 0.5000 0.5000  4.49
Ca 0.0000 0.0000 0.0000  -0.03

---

Short version: run 1 is the most stable of them.